RbCaTl2Br5 | PBE-GGA | optimized geometry

It has space group Immm (No. 71), with a = 5.544 Å, b = 8.022 Å, c = 16.060 Å, α = 90.00°, β = 90.00° and γ = 90.00°. Symmetry generates all atoms from Rb at (0.000, 0.000, 0.000), Ca at (0.000, 0.000, 0.500), Tl at (0.000, 0.500, 0.209), Br at (0.000, 0.250, 0.370) and Br at (0.000, 0.500, 0.000).

Its density of states at the Fermi level is 0.000 states/eV/atom. The spin magnetization is 0.00 μB/f.u. The formation energy (no corrections) is -12.82 eV/f.u.